# PBE-GGA TbNd12Tl3, relaxed
# E_tot = -4.45 eV per atom
# Spin magnetization = 0.00 μB per formula unit
data_TbNd12Tl3
_cell_length_a 5.003
_cell_length_b 5.003
_cell_length_c 20.470
_cell_angle_alpha 90.00
_cell_angle_beta 90.00
_cell_angle_gamma 90.00
_symmetry_space_group_name_H-M 'P 1'
_symmetry_Int_Tables_number 1
loop_
_symmetry_equiv_pos_as_xyz
'x,y,z'
loop_
_atom_site_label
_atom_site_fract_x
_atom_site_fract_y
_atom_site_fract_z
Tb1 0.000 0.000 0.000
Nd1 0.000 0.500 0.131
Nd2 0.000 0.500 0.377
Nd3 0.000 0.500 0.623
Nd4 0.000 0.500 0.869
Nd5 0.500 0.000 0.131
Nd6 0.500 0.000 0.377
Nd7 0.500 0.000 0.623
Nd8 0.500 0.000 0.869
Nd9 0.500 0.500 0.000
Nd10 0.500 0.500 0.254
Nd11 0.500 0.500 0.500
Nd12 0.500 0.500 0.746
Tl1 0.000 0.000 0.256
Tl2 0.000 0.000 0.500
Tl3 0.000 0.000 0.744